Entry 1:
The following is a DFT calculation (GGA-PBE) of an optimized crystal structure of Ac3Ho5S12.

Computed properties:
The value obtained for the density of states at the Fermi level is 0.000 states/eV per cell. Its theoretical density is 5.54 g/cm³. The uncorrected formation energy comes out at -2.036 eV/atom. For the total moment, the calculation gives 0.00 μB/f.u. As for the crystal system: cubic. As for the total energy: -6.27 eV per atom.

Unit cell a=16.5499 b=16.5499 c=16.5499 alpha=90.00 beta=90.00 gamma=90.00
With the nearest neighbours (Å) after each atom.
Space group Ia-3d (No. 230)
Unique sites:
Ac1 0.0000 0.2500 0.1250  8 S 3.15
Ho1 0.0000 0.0000 0.0000  6 S 2.74
Ho2 0.0000 0.2500 0.3750  4 S 2.56
S1 0.0244 0.0631 0.6509  2 Ho 2.56-2.74


Entry 2:
The following is a DFT calculation (GGA-PBE) of an optimized crystal structure of Ac2HoScS6.

Computed properties:
The value obtained for the density of states at the Fermi level is 0.000 states/eV per cell. Its theoretical density is 5.65 g/cm³. The uncorrected formation energy comes out at -2.127 eV/atom. For the total moment, the calculation gives 0.00 μB/f.u. As for the crystal system: monoclinic. As for the total energy: -6.52 eV per atom.

Unit cell a=6.8310 b=7.4122 c=12.0259 alpha=90.00 beta=124.20 gamma=90.00
With the nearest neighbours (Å) after each atom.
Space group P2_1/c (No. 14)
Unique sites:
Ac1 0.2203 0.0872 0.2493  6 S 2.97-3.19
Ho1 0.5000 0.0000 0.0000  6 S 2.67-2.72
Sc1 0.0000 0.0000 0.5000  6 S 2.56-2.62
S1 0.1221 0.1968 0.9420  1 Sc 2.62, 1 Ho 2.69
S2 0.2518 0.6870 0.9436  1 Sc 2.58, 1 Ho 2.72
S3 0.3569 0.0320 0.7434  1 Sc 2.56, 1 Ho 2.67


Entry 3:
The following is a DFT calculation (GGA-PBE) of an optimized crystal structure of AcHoSeS2.

Computed properties:
The value obtained for the density of states at the Fermi level is 0.000 states/eV per cell. Its theoretical density is 5.66 g/cm³. The uncorrected formation energy comes out at -1.947 eV/atom. For the total moment, the calculation gives 0.00 μB/f.u. As for the crystal system: tetragonal. As for the total energy: -6.03 eV per atom.

Unit cell a=4.8605 b=4.8605 c=6.6434 alpha=90.00 beta=90.00 gamma=90.00
With the nearest neighbours (Å) after each atom.
Space group P4mm (No. 99)
Unique sites:
Ac1 0.0000 0.0000 0.0000  4 S 2.96
Ho1 0.5000 0.5000 0.4056  4 S 2.63, 1 Se 2.73
Se1 0.5000 0.5000 0.8167  1 Ho 2.73
S1 0.0000 0.5000 0.2551  2 Ho 2.63


Entry 4:
The following is a DFT calculation (GGA-PBE) of an optimized crystal structure of Ac3Sm3HoS8.

Computed properties:
The value obtained for the density of states at the Fermi level is 21.573 states/eV per cell. Its theoretical density is 6.47 g/cm³. The uncorrected formation energy comes out at -2.043 eV/atom. For the total moment, the calculation gives 0.00 μB/f.u. As for the crystal system: trigonal. As for the total energy: -6.31 eV per atom.

Unit cell a=8.1622 b=8.1622 c=20.7375 alpha=90.00 beta=90.00 gamma=120.00
With the nearest neighbours (Å) after each atom.
Space group R-3m (No. 166, hexagonal axes)
Unique sites:
Ac1 0.0000 0.5000 0.0000  6 S 3.01
Sm1 0.0000 0.5000 0.5000  6 S 2.84-2.85
Ho1 0.0000 0.0000 0.5000  6 S 2.78
S1 0.0000 0.0000 0.2432  3 Sm 2.84, 3 Ac 3.01
S2 0.0072 0.5036 0.2418  1 Ho 2.78, 2 Sm 2.85, 2 Ac 3.01


Entry 5:
The following is a DFT calculation (GGA-PBE) of an optimized crystal structure of Ac2SmHoS4.

Computed properties:
The value obtained for the density of states at the Fermi level is 3.946 states/eV per cell. Its theoretical density is 7.50 g/cm³. The uncorrected formation energy comes out at -1.989 eV/atom. For the total moment, the calculation gives 0.00 μB/f.u. As for the crystal system: monoclinic. As for the total energy: -6.24 eV per atom.

Unit cell a=7.0327 b=4.0333 c=7.3798 alpha=90.00 beta=108.34 gamma=90.00
With the nearest neighbours (Å) after each atom.
Space group P2/m (No. 10)
Unique sites:
Ac1 0.0000 0.0000 0.0000  6 S 3.07
Ac2 0.5000 0.5000 0.0000  6 S 3.02
Sm1 0.0000 0.5000 0.5000  6 S 2.83-2.84
Ho1 0.5000 0.0000 0.5000  6 S 2.78
S1 0.2469 0.0000 0.7235  1 Ho 2.78, 2 Sm 2.83, 3 Ac 3.02-3.07
S2 0.2663 0.5000 0.2805  2 Ho 2.78, 1 Sm 2.84, 3 Ac 3.02-3.07


Entry 6:
The following is a DFT calculation (GGA-PBE) of an optimized crystal structure of AcSm2HoS4.

Computed properties:
The value obtained for the density of states at the Fermi level is 4.574 states/eV per cell. Its theoretical density is 7.20 g/cm³. The uncorrected formation energy comes out at -1.969 eV/atom. For the total moment, the calculation gives 0.00 μB/f.u. As for the crystal system: monoclinic. As for the total energy: -6.30 eV per atom.

Unit cell a=6.9785 b=4.0044 c=7.1574 alpha=90.00 beta=108.79 gamma=90.00
With the nearest neighbours (Å) after each atom.
Space group P2/m (No. 10)
Unique sites:
Ac1 0.0000 0.0000 0.0000  6 S 2.95-2.96
Sm1 0.5000 0.0000 0.5000  6 S 2.79-2.80
Sm2 0.5000 0.5000 0.0000  6 S 2.93-2.94
Ho1 0.0000 0.5000 0.5000  6 S 2.81
S1 0.2466 0.0000 0.7338  3 Sm 2.80-2.93, 2 Ho 2.81, 1 Ac 2.95
S2 0.2588 0.5000 0.2689  3 Sm 2.79-2.94, 1 Ho 2.81, 2 Ac 2.96


Entry 7:
The following is a DFT calculation (GGA-PBE) of an optimized crystal structure of Ac3Sm2HoS6.

Computed properties:
The value obtained for the density of states at the Fermi level is 11.054 states/eV per cell. Its theoretical density is 7.41 g/cm³. The uncorrected formation energy comes out at -1.997 eV/atom. For the total moment, the calculation gives 0.00 μB/f.u. As for the crystal system: monoclinic. As for the total energy: -6.26 eV per atom.

Unit cell a=7.0716 b=12.2779 c=7.3075 alpha=90.00 beta=108.94 gamma=90.00
With the nearest neighbours (Å) after each atom.
Space group C2/m (No. 12)
Unique sites:
Ac1 0.0000 0.0000 0.0000  6 S 3.02-3.07
Ac2 0.0000 0.3309 0.0000  6 S 3.02-3.06
Sm1 0.0000 0.1666 0.5000  6 S 2.84-2.85
Ho1 0.0000 0.5000 0.5000  6 S 2.78-2.79
S1 0.2373 0.3369 0.7234  1 Ho 2.78, 2 Sm 2.84, 3 Ac 3.02-3.06
S2 0.2492 0.0000 0.7260  1 Ho 2.79, 2 Sm 2.85, 3 Ac 3.03-3.07


Entry 8:
The following is a DFT calculation (GGA-PBE) of an optimized crystal structure of AcSm2HoS6.

Computed properties:
The value obtained for the density of states at the Fermi level is 0.000 states/eV per cell. Its theoretical density is 5.26 g/cm³. The uncorrected formation energy comes out at -2.054 eV/atom. For the total moment, the calculation gives 0.00 μB/f.u. As for the crystal system: trigonal. As for the total energy: -6.34 eV per atom.

Unit cell a=7.1625 b=7.1625 c=18.8736 alpha=90.00 beta=90.00 gamma=120.00
With the nearest neighbours (Å) after each atom.
Space group R3 (No. 146, hexagonal axes)
Unique sites:
Ac1 0.0000 0.0000 0.0000  6 S 2.93-3.06
Sm1 0.0000 0.0000 0.2097  6 S 2.75-2.86
Sm2 0.0000 0.0000 0.7171  6 S 2.79-2.85
Ho1 0.0000 0.0000 0.5123  6 S 2.75-2.77
S1 0.0072 0.3103 0.1130  1 Ho 2.75, 2 Sm 2.79-2.86, 1 Ac 3.06
S2 0.0647 0.6975 0.2782  2 Sm 2.75-2.85, 1 Ho 2.77, 1 Ac 2.93


Entry 9:
The following is a DFT calculation (GGA-PBE) of an optimized crystal structure of Sr2AcHoS4.

Computed properties:
The value obtained for the density of states at the Fermi level is 3.577 states/eV per cell. Its theoretical density is 5.57 g/cm³. The uncorrected formation energy comes out at -2.008 eV/atom. For the total moment, the calculation gives 0.00 μB/f.u. As for the crystal system: monoclinic. As for the total energy: -5.58 eV per atom.

Unit cell a=7.2278 b=4.1575 c=7.2991 alpha=90.00 beta=109.06 gamma=90.00
With the nearest neighbours (Å) after each atom.
Space group P2/m (No. 10)
Unique sites:
Sr1 0.0000 0.0000 0.0000  6 S 3.07-3.08
Sr2 0.5000 0.5000 0.0000  6 S 2.94
Ac1 0.0000 0.5000 0.5000  6 S 2.98-2.99
Ho1 0.5000 0.0000 0.5000  6 S 2.84-2.85
S1 0.2649 0.0000 0.7443  1 Ho 2.84, 3 Sr 2.94-3.08, 2 Ac 2.99
S2 0.2703 0.5000 0.2664  2 Ho 2.85, 3 Sr 2.94-3.07, 1 Ac 2.98